1.
Computed, not measured: a relaxed BaCd2PbF8 crystal at the PBE level of DFT.

The structure belongs to space group I-4m2 (No. 119); the cell edges are 5.855, 5.855 and 11.437 Å and the angles 90.00°, 90.00° and 90.00°. The distinct sites, in fractional coordinates, are Ba at (0.000, 0.000, 0.000), Cd at (0.000, 0.000, 0.500), Cd at (0.000, 0.500, 0.250), Pb at (0.000, 0.500, 0.750) and F at (0.225, 0.244, 0.372).

The value obtained for the uncorrected formation energy is -2633 meV/atom.

=====

2.
Computed, not measured: a relaxed BaCdPdF6 crystal at the PBE level of DFT.

The structure belongs to space group P312 (No. 149); the cell edges are 5.8798, 5.8798 and 5.5965 Å and the angles 90.00°, 90.00° and 120.00°. The distinct sites, in fractional coordinates, are Ba at (0.0000, 0.0000, 0.0000), Cd at (0.6667, 0.3333, 0.5000), Pd at (0.3333, 0.6667, 0.5000) and F at (0.0070, 0.3627, 0.2839).

The value obtained for the uncorrected formation energy is -2379 meV/atom.

=====

3.
Computed, not measured: a relaxed BaCdPd2F8 crystal at the PBE level of DFT.

The structure belongs to space group P-3m1 (No. 164); the cell edges are 6.4799, 6.4799 and 7.4440 Å and the angles 90.00°, 90.00° and 120.00°. The distinct sites, in fractional coordinates, are Ba at (0.0000, 0.0000, 0.0000), Cd at (0.0000, 0.0000, 0.5000), Pd at (0.3333, 0.6667, 0.2433), F at (0.1447, 0.2895, 0.2904) and F at (0.3333, 0.6667, 0.9688).

The value obtained for the uncorrected formation energy is -1803 meV/atom.

=====

4.
Computed, not measured: a relaxed BaCdPtF2 crystal at the PBE level of DFT.

The structure belongs to space group P4/mmm (No. 123); the cell edges are 4.764, 4.764 and 6.401 Å and the angles 90.00°, 90.00° and 90.00°. The distinct sites, in fractional coordinates, are Ba at (0.000, 0.000, 0.000), Cd at (0.500, 0.500, 0.500), Pt at (0.000, 0.000, 0.500) and F at (0.000, 0.500, 0.000).

The value obtained for the uncorrected formation energy is -1334 meV/atom.

=====

5.
Computed, not measured: a relaxed RbBa2CdF8 crystal at the PBE level of DFT.

The structure belongs to space group P2/m (No. 10); the cell edges are 4.475, 8.786 and 5.988 Å and the angles 90.00°, 95.56° and 90.00°. The distinct sites, in fractional coordinates, are Rb at (0.000, 0.000, 0.000), Ba at (0.500, 0.262, 0.500), Cd at (0.000, 0.500, 0.000), F at (0.038, 0.298, 0.759), F at (0.432, 0.500, 0.221) and F at (0.469, 0.000, 0.718).

The value obtained for the uncorrected formation energy is -2910 meV/atom.

=====

6.
Computed, not measured: a relaxed RbBaCd2F crystal at the PBE level of DFT.

The structure belongs to space group P4/mmm (No. 123); the cell edges are 6.450, 6.450 and 4.914 Å and the angles 90.00°, 90.00° and 90.00°. The distinct sites, in fractional coordinates, are Rb at (0.000, 0.000, 0.000), Ba at (0.500, 0.500, 0.000), Cd at (0.000, 0.500, 0.500) and F at (0.500, 0.500, 0.500).

The value obtained for the uncorrected formation energy is -949 meV/atom.